Entry 1:
Here is SrLa2TcSe at its PBEsol-relaxed geometry from Alexandria via LeMat-Bulk. Energies are from meta-GGA SCAN.

Cell and atoms, written as extended XYZ:
```
5
Lattice="5.161 0.000 0.000 0.000 5.161 0.000 0.000 0.000 5.999" Properties=species:S:1:pos:R:3 pbc="T T T"
Sr 0.000 0.000 3.000
La 0.000 2.580 0.000
La 2.580 0.000 0.000
Tc 0.000 0.000 0.000
Se 2.580 2.580 3.000
```

Summary:
Mass density = 5.637 g/cm3
V = 159.78 Å³ per cell
Space group = P4/mmm
Energy relative to the elements, uncorrected = -0.424 eV per atom
Energy = -33.1487 eV per atom


Entry 2:
Here is Mn2BeTe at its PBEsol-relaxed geometry from Alexandria via LeMat-Bulk. Energies are from meta-GGA SCAN.

Cell and atoms, written as extended XYZ:
```
4
Lattice="3.395 0.000 0.000 1.698 2.941 0.000 1.698 0.980 5.837" Properties=species:S:1:pos:R:3 pbc="T T T"
Te 3.395 1.960 2.919
Be 0.000 0.000 0.000
Mn 5.093 2.941 4.780
Mn 1.698 0.980 1.057
```

Summary:
Mass density = 7.023 g/cm3
V = 58.28 Å³ per cell
Space group = R-3m
Energy relative to the elements, uncorrected = 0.115 eV per atom
Relative energy among the computed polymorphs = 0.0 kJ per mole of atoms
Energy = -19.4133 eV per atom


Entry 3:
Here is Ca3GeCl2O4 at its PBEsol-relaxed geometry from Alexandria via LeMat-Bulk. Energies are from meta-GGA SCAN.

Cell and atoms, written as extended XYZ:
```
40
Lattice="-0.869 -5.363 -1.694 5.310 1.869 -8.639 9.747 -3.251 5.289" Properties=species:S:1:pos:R:3 pbc="T T T"
Ca 4.584 -0.070 -4.342
Ca 1.372 -1.825 -2.628
Ca 3.164 -4.242 0.036
Ca 12.817 -4.921 -2.416
Ca 4.964 -3.609 -2.892
Ca 7.804 -7.309 2.225
Ca 11.024 -2.503 -5.081
Ca 9.604 -6.676 -0.703
Ca 6.511 -1.811 0.534
Ca 7.677 -4.934 -5.578
Ca 6.384 0.564 -7.270
Ca 9.225 -3.136 -2.153
O 7.216 -3.223 2.300
O 8.948 -5.514 1.231
O 6.972 -3.522 -7.344
O 10.485 -5.320 -2.298
O 4.899 -2.826 -0.677
O 11.898 -4.823 -4.597
O 10.360 -1.339 -3.151
O 3.703 -1.425 -2.746
O 8.630 -2.726 0.001
O 4.204 -3.601 -7.425
O 3.828 -5.406 -1.893
O 9.290 -3.919 -4.368
O 5.241 -1.231 -6.275
O 9.984 -3.144 2.381
O 2.290 -1.922 -0.447
O 5.559 -4.019 -5.045
Cl 0.394 -4.143 -1.481
Cl 11.853 -3.285 -0.405
Cl 6.975 -1.691 -3.059
Cl 2.335 -3.460 -4.639
Cl 7.214 -5.054 -1.985
Cl 5.273 -5.737 1.173
Cl 8.916 -1.008 -6.217
Cl 13.795 -2.602 -3.563
Ge 5.552 -2.950 -6.455
Ge 8.636 -3.796 1.411
Ge 10.299 -5.357 -4.058
Ge 3.889 -1.388 -0.986
```

Summary:
Mass density = 3.210 g/cm3
V = 678.16 Å³ per cell
Space group = Pnma
Energy relative to the elements, uncorrected = -2.760 eV per atom
Energy = -11.6555 eV per atom